Material: PaSnOs2
Method: DFT, GGA-PBE
State: optimized geometry

```
PaSnOs2
1.0
4.4654 0.0000 0.0000
0.0000 4.4654 0.0000
0.0000 0.0000 3.7822
Pa Sn Os
1 1 2
Cartesian
0.0000 0.0000 0.0000
2.2327 2.2327 0.0000
0.0000 2.2327 1.8911
2.2327 0.0000 1.8911
```

Values from the calculation:
Energy relative to the elements   -105 meV per atom
SG   No. 123
Density   16.08 g cm⁻³
N(E_F)   2.8 states/eV per cell
Magnetization   0.000 μB/cell